# 1
# PBE LiPu2As3Pd4, optimized geometry
# E ... -7.200 eV per atom
# ΔH_f (0 K) ... -0.67 eV per atom
# Total magnetization ... 10.7 μB/cell
# DOS(E_F) ... 29.771 states/eV per cell
data_LiPu2As3Pd4
_symmetry_space_group_name_H-M 'P -4 m 2'
_symmetry_Int_Tables_number 115
_cell_length_a 4.178
_cell_length_b 4.178
_cell_length_c 10.695
_cell_angle_alpha 90.00
_cell_angle_beta 90.00
_cell_angle_gamma 90.00
loop_
_symmetry_equiv_pos_as_xyz
'x,y,z'
'y,-x,-z'
'-x,-y,z'
'-y,x,-z'
'-x,y,z'
'-y,-x,-z'
'x,-y,z'
'y,x,-z'
loop_
_atom_site_label
_atom_site_type_symbol
_atom_site_fract_x
_atom_site_fract_y
_atom_site_fract_z
Li1 Li 0.000 0.000 0.000
Pu1 Pu 0.000 0.500 0.743
As1 As 0.000 0.500 0.359
As2 As 0.500 0.500 0.000
Pd1 Pd 0.000 0.000 0.500
Pd2 Pd 0.000 0.500 0.131
Pd3 Pd 0.500 0.500 0.500


# 2
# PBE Li2PuAs2Pd2, optimized geometry
# E ... -6.157 eV per atom
# ΔH_f (0 K) ... -0.75 eV per atom
# Total magnetization ... 14.8 μB/cell
# DOS(E_F) ... 37.040 states/eV per cell
data_Li2PuAs2Pd2
_symmetry_space_group_name_H-M 'R -3 m'
_symmetry_Int_Tables_number 166
_symmetry_space_group_name_Hall '-R 3 2"'
_cell_length_a 4.2836
_cell_length_b 4.2836
_cell_length_c 22.8025
_cell_angle_alpha 90.00
_cell_angle_beta 90.00
_cell_angle_gamma 120.00
loop_
_atom_site_label
_atom_site_type_symbol
_atom_site_fract_x
_atom_site_fract_y
_atom_site_fract_z
Li1 Li 0.0000 0.0000 0.1424
Pu1 Pu 0.0000 0.0000 0.0000
As1 As 0.0000 0.0000 0.2569
Pd1 Pd 0.0000 0.0000 0.4299


# 3
# PBE RbLi2AsPd, optimized geometry
# E ... -3.315 eV per atom
# ΔH_f (0 K) ... -0.39 eV per atom
# Total magnetization ... 0.0 μB/cell
# DOS(E_F) ... 0.978 states/eV per cell
data_RbLi2AsPd
_symmetry_space_group_name_H-M 'P 4/m m m'
_symmetry_Int_Tables_number 123
_symmetry_space_group_name_Hall '-P 4 2'
_cell_length_a 4.974
_cell_length_b 4.974
_cell_length_c 4.938
_cell_angle_alpha 90.00
_cell_angle_beta 90.00
_cell_angle_gamma 90.00
loop_
_atom_site_label
_atom_site_type_symbol
_atom_site_fract_x
_atom_site_fract_y
_atom_site_fract_z
Rb1 Rb 0.000 0.000 0.000
Li1 Li 0.000 0.500 0.500
As1 As 0.500 0.500 0.500
Pd1 Pd 0.500 0.500 0.000


Question: Look up the E of the first one.
Answer: -7.200 eV per atom